<i>
A plane-wave DFT calculation with PBE was carried out for a geometry-optimized Mg2ZrAu structure.

Cell: 3.1195 3.1195 29.4591 Å, 90.00 90.00 120.00°
Positions (direct):
Mg (0.0000, 0.0000, 0.0000)
Mg (0.0000, 0.0000, 0.1833)
Mg (0.3333, 0.6667, 0.6667)
Mg (0.3333, 0.6667, 0.8500)
Mg (0.6667, 0.3333, 0.3333)
Mg (0.6667, 0.3333, 0.5166)
Zr (0.0000, 0.0000, 0.4259)
Zr (0.3333, 0.6667, 0.0926)
Zr (0.6667, 0.3333, 0.7592)
Au (0.0000, 0.0000, 0.5915)
Au (0.3333, 0.6667, 0.2582)
Au (0.6667, 0.3333, 0.9248)

## Properties
* SG: R3m


<ii>
A plane-wave DFT calculation with PBE was carried out for a geometry-optimized Mg2ZrAu structure.

Cell: 4.3938 4.3938 8.3591 Å, 90.00 90.00 90.00°
Positions (direct):
Mg (0.0000, 0.5000, 0.2500)
Mg (0.0000, 0.5000, 0.7500)
Mg (0.5000, 0.0000, 0.2500)
Mg (0.5000, 0.0000, 0.7500)
Zr (0.0000, 0.0000, 0.0000)
Zr (0.5000, 0.5000, 0.5000)
Au (0.0000, 0.0000, 0.5000)
Au (0.5000, 0.5000, 0.0000)

## Properties
* SG: I4/mmm


<iii>
A plane-wave DFT calculation with PBE was carried out for a geometry-optimized Mg2ZrAu structure.

Cell: 3.0535 4.7165 5.7426 Å, 90.00 100.87 90.00°
Positions (direct):
Mg (0.1515, 0.0000, 0.2627)
Mg (0.8485, 0.0000, 0.7373)
Zr (0.5000, 0.5000, 0.0000)
Au (0.0000, 0.5000, 0.5000)

## Properties
* SG: P2/m


Short version: <iii> is the most stable of them.


<i>
A plane-wave DFT calculation with PBE was carried out for a geometry-optimized MgZrAu3 structure.

Cell: 4.7733 4.7733 4.7733 Å, 90.00 90.00 90.00°
Positions (direct):
Mg (0.0000, 0.0000, 0.0000)
Zr (0.5000, 0.5000, 0.5000)
Au (0.0000, 0.0000, 0.5000)
Au (0.0000, 0.5000, 0.0000)
Au (0.5000, 0.0000, 0.0000)

## Properties
* SG: Pm-3m


<ii>
A plane-wave DFT calculation with PBE was carried out for a geometry-optimized MgZrAu3 structure.

Cell: 9.2198 9.2198 9.2198 Å, 148.99 148.93 44.47°
Positions (direct):
Mg (0.3780, 0.1280, 0.2500)
Mg (0.6220, 0.8720, 0.7500)
Zr (0.1167, 0.3667, 0.7500)
Zr (0.8833, 0.6333, 0.2500)
Au (0.1962, 0.9462, 0.2500)
Au (0.2916, 0.5416, 0.7500)
Au (0.4622, 0.7122, 0.7500)
Au (0.5378, 0.2878, 0.2500)
Au (0.7084, 0.4584, 0.2500)
Au (0.8038, 0.0538, 0.7500)

## Properties
* SG: Imma


Short version: <ii> is the most stable of them.


<i>
A plane-wave DFT calculation with PBE was carried out for a geometry-optimized Mn5Au3 structure.

Cell: 7.3706 7.3706 7.7047 Å, 94.91 94.91 139.09°
Positions (direct):
Mn (0.0952, 0.7619, 0.8179)
Mn (0.2381, 0.9048, 0.1821)
Mn (0.2459, 0.2459, 0.0026)
Mn (0.2867, 0.4835, 0.6635)
Mn (0.4835, 0.2867, 0.6635)
Mn (0.5165, 0.7133, 0.3365)
Mn (0.7133, 0.5165, 0.3365)
Mn (0.7541, 0.7541, 0.9974)
Mn (0.7619, 0.0952, 0.8179)
Mn (0.9048, 0.2381, 0.1821)
Au (0.1256, 0.1256, 0.3513)
Au (0.2272, 0.7728, 0.5000)
Au (0.3309, 0.6691, 0.0000)
Au (0.6691, 0.3309, 0.0000)
Au (0.7728, 0.2272, 0.5000)
Au (0.8744, 0.8744, 0.6487)

## Properties
* SG: C2/m


<ii>
A plane-wave DFT calculation with PBE was carried out for a geometry-optimized Mn5Au3 structure.

Cell: 7.7942 7.7942 5.0844 Å, 90.00 90.00 120.00°
Positions (direct):
Mn (0.0000, 0.2287, 0.2500)
Mn (0.0000, 0.7713, 0.7500)
Mn (0.2287, 0.0000, 0.2500)
Mn (0.2287, 0.2287, 0.7500)
Mn (0.3333, 0.6667, 0.0000)
Mn (0.3333, 0.6667, 0.5000)
Mn (0.6667, 0.3333, 0.0000)
Mn (0.6667, 0.3333, 0.5000)
Mn (0.7713, 0.0000, 0.7500)
Mn (0.7713, 0.7713, 0.2500)
Au (0.0000, 0.3973, 0.7500)
Au (0.0000, 0.6027, 0.2500)
Au (0.3973, 0.0000, 0.7500)
Au (0.3973, 0.3973, 0.2500)
Au (0.6027, 0.0000, 0.2500)
Au (0.6027, 0.6027, 0.7500)

## Properties
* SG: P6_3/mcm


Short version: <ii> is the most stable of them.